1.
Cs12K7Hg PBE relaxed; crystal system = trigonal; E_form = -0.002 eV/atom; N(E_F) = 18.88 states/eV per cell
1.0
13.072 0.000 4.580
-6.420 10.803 4.360
0.233 0.000 13.300
Cs K Hg
12 7 1
Direct
0.574 0.262 0.209
0.217 0.791 0.471
0.239 0.183 0.083
0.678 0.917 0.266
0.688 0.471 0.738
0.944 0.266 0.817
0.056 0.734 0.183
0.312 0.529 0.262
0.322 0.083 0.734
0.761 0.817 0.917
0.783 0.209 0.529
0.426 0.738 0.791
0.010 0.351 0.115
0.875 0.885 0.465
0.341 0.465 0.649
0.500 0.000 0.000
0.659 0.535 0.351
0.125 0.115 0.535
0.990 0.649 0.885
0.000 0.000 0.000



2.
IrBr4Cl PBE relaxed; crystal system = cubic; uncorrected formation energy = 1375 meV per atom; N(E_F) = 9.59 states/eV per cell; energy above the most stable polymorph in this dataset = 1553 meV per atom
1.0
0.000 4.253 4.253
4.253 0.000 4.253
4.253 4.253 0.000
Ir Br Cl
1 4 1
Direct
0.000 0.000 0.000
0.875 0.375 0.375
0.375 0.375 0.875
0.375 0.875 0.375
0.375 0.375 0.375
0.750 0.750 0.750